## BaVFeO4 (GGA+U)

Data for crystalline BaVFeO4 at its relaxed geometry.

Computed properties:
DFT total energy (eV per atom): -7.00

Geometry as CIF:
```
data_BaVFeO4
_symmetry_space_group_name_H-M 'P 1 21/m 1'
_symmetry_Int_Tables_number 11
_cell_length_a 5.7074
_cell_length_b 5.9275
_cell_length_c 6.8640
_cell_angle_alpha 90.00
_cell_angle_beta 104.55
_cell_angle_gamma 90.00
loop_
_symmetry_equiv_pos_as_xyz
'x,y,z'
'-x,-y,-z'
'-x,y+1/2,-z'
'x,-y+1/2,z'
loop_
_atom_site_label
_atom_site_type_symbol
_atom_site_fract_x
_atom_site_fract_y
_atom_site_fract_z
Ba1 Ba 0.2420 0.2500 0.0392
V1 V 0.3028 0.7500 0.3328
Fe1 Fe 0.1142 0.2500 0.5007
O1 O 0.0500 0.5340 0.3152
O2 O 0.3590 0.7500 0.0900
O3 O 0.4651 0.2500 0.4413
```